# 1
{
  "formula": "Hf4Zr2Ti",
  "functional": "GGA-PBE",
  "state": "optimized geometry",
  "lattice_angstrom": [[4.422, 0.000, 0.000], [-2.211, 4.549, 1.951], [0.000, 5.395, 9.933]],
  "species": ["Hf", "Hf", "Zr", "Hf", "Hf", "Ti", "Zr"],
  "frac_coords": [[0.844, 0.687, 0.225], [0.156, 0.313, 0.775], [0.718, 0.437, 0.923], [0.578, 0.156, 0.636], [0.422, 0.844, 0.364], [0.000, 0.000, 0.500], [0.282, 0.563, 0.077]],
  "sg": "C2/m"
}



# 2
{
  "formula": "Hf5Tl",
  "functional": "GGA-PBE",
  "state": "optimized geometry",
  "lattice_angstrom": [[4.387, 0.000, 0.000], [0.000, 4.428, 0.000], [0.000, -2.214, 6.877]],
  "species": ["Hf", "Hf", "Hf", "Hf", "Hf", "Tl"],
  "frac_coords": [[0.000, 0.671, 0.343], [0.500, 0.500, 0.000], [0.500, 0.169, 0.338], [0.000, 0.329, 0.657], [0.500, 0.831, 0.662], [0.000, 0.000, 0.000]],
  "sg": "Cmmm"
}



# 3
{
  "formula": "Hf3Tl",
  "functional": "GGA-PBE",
  "state": "optimized geometry",
  "lattice_angstrom": [[3.185, 0.000, 0.000], [0.000, 5.453, 0.000], [-1.593, -2.726, 5.159]],
  "species": ["Tl", "Hf", "Hf", "Hf"],
  "frac_coords": [[0.000, 0.002, 0.000], [0.500, 0.487, 0.000], [0.255, 0.593, 0.509], [0.745, 0.084, 0.491]],
  "sg": "Imm2"
}



# 4
{
  "formula": "HfTl4",
  "functional": "GGA-PBE",
  "state": "optimized geometry",
  "lattice_angstrom": [[5.671, 0.000, 0.000], [0.000, 5.671, 0.000], [0.000, 0.000, 5.671]],
  "species": ["Tl", "Tl", "Hf", "Tl", "Tl"],
  "frac_coords": [[0.000, 0.500, 0.500], [0.500, 0.000, 0.500], [0.500, 0.500, 0.500], [0.500, 0.500, 0.000], [0.000, 0.000, 0.000]],
  "sg": "Pm-3m"
}



# 5
{
  "formula": "Hf3Tl",
  "functional": "GGA-PBE",
  "state": "optimized geometry",
  "lattice_angstrom": [[-0.250, -3.724, -3.601], [2.454, -1.492, 1.372], [-3.451, -2.797, 3.132]],
  "species": ["Hf", "Hf", "Hf", "Tl"],
  "frac_coords": [[0.000, 0.500, 0.515], [0.500, 0.000, 0.652], [0.500, 0.500, 0.160], [0.000, 0.000, 0.006]],
  "sg": "Pmm2"
}



# 6
{
  "formula": "Hf5Tl3",
  "functional": "GGA-PBE",
  "state": "optimized geometry",
  "lattice_angstrom": [[3.158, 0.000, 0.000], [0.000, 3.158, 0.000], [0.000, 0.000, 18.334]],
  "species": ["Hf", "Hf", "Tl", "Hf", "Tl", "Hf", "Tl", "Hf"],
  "frac_coords": [[0.500, 0.500, 0.367], [0.000, 0.000, 0.251], [0.000, 0.000, 0.500], [0.500, 0.500, 0.633], [0.500, 0.500, 0.878], [0.000, 0.000, 0.749], [0.500, 0.500, 0.122], [0.000, 0.000, 0.000]],
  "sg": "P4/mmm"
}



Calculated values (eV per atom) of calculated total energy for the records, taken in order: -9.184 -8.674 -7.988 -3.439 -7.980 -7.076.
Calculated values (eV/atom) of energy of formation for the records, taken in order: 0.07 0.01 0.07 0.44 0.08 0.03.
Calculated values (states/eV/atom) of density of states at the Fermi level for the records, taken in order: 1.4562 1.0481 0.9785 1.2595 0.7876 0.7787.